Run i
VASP calculation (PBE-GGA) on a relaxed structure of SmAgTe3Pb.

Cell: 12.5494 4.5611 12.8130 Å, 90.00 90.00 90.00°
Space group Pnma (No. 62)
Symmetry-distinct sites (fractional):
Sm: 0.0249 0.2500 0.1895 x4
Ag: 0.2364 0.7500 0.2943 x4
Te: 0.0284 0.7500 0.3674 x4
Te: 0.0945 0.2500 0.9392 x4
Te: 0.2174 0.7500 0.6743 x4
Pb: 0.1911 0.2500 0.4828 x4

Properties
Size of the total moment: 0.00 μB/f.u.

=====

Run ii
VASP calculation (PBE-GGA) on a relaxed structure of SmAgTe3Pb.

Cell: 14.7392 4.3914 11.8265 Å, 90.00 90.00 90.00°
Space group Pnma (No. 62)
Symmetry-distinct sites (fractional):
Sm: 0.0081 0.2500 0.1758 x4
Ag: 0.0068 0.7500 0.4132 x4
Te: 0.1131 0.2500 0.9414 x4
Te: 0.1219 0.7500 0.6180 x4
Te: 0.1487 0.7500 0.2498 x4
Pb: 0.2179 0.2500 0.4446 x4

Properties
Size of the total moment: 0.00 μB/f.u.

=====

Run iii
VASP calculation (PBE-GGA) on a relaxed structure of SmAgTe3Pb.

Cell: 8.4207 4.3915 10.7516 Å, 90.00 106.01 90.00°
Space group P2_1/m (No. 11)
Symmetry-distinct sites (fractional):
Sm: 0.1988 0.2500 0.1685 x2
Ag: 0.4163 0.7500 0.4104 x2
Te: 0.0778 0.2500 0.8623 x2
Te: 0.2162 0.2500 0.4637 x2
Te: 0.4579 0.7500 0.1592 x2
Pb: 0.2407 0.7500 0.7018 x2

Properties
Size of the total moment: 0.00 μB/f.u.

=====

The structure with the greatest stability is run ii.